The following is a PBE calculation of crystalline Ta2SeBr at its relaxed geometry, from Alexandria.

**Raw formation energy**: 40 kJ per mole of atoms
**Distance to the lowest polymorph of the same formula**: 0.816 eV/atom

Cell lengths 5.5143, 5.5143, 5.5143 Å; angles 147.91, 115.69, 73.69 degrees
Fractional positions:
Br 0.2500 0.7500 0.5000
Ta 0.9894 0.9894 0.0000
Se 0.7500 0.2500 0.5000
Ta 0.5106 0.5106 0.0000

***

The following is a PBE calculation of crystalline Ta2SeBr at its relaxed geometry, from Alexandria.

**Raw formation energy**: 21 kJ per mole of atoms
**Distance to the lowest polymorph of the same formula**: 0.623 eV/atom

Cell lengths 3.1438, 5.4442, 5.5824 Å; angles 49.22, 90.00, 90.00 degrees
Fractional positions:
Se 0.0000 0.0000 0.5000
Ta 0.0000 0.0000 0.0000
Br 0.5000 0.5000 0.5000
Ta 0.5000 0.5000 0.0000

***

The following is a PBE calculation of crystalline Ta3SeBr at its relaxed geometry, from Alexandria.

**Raw formation energy**: 124 kJ per mole of atoms
**Distance to the lowest polymorph of the same formula**: 0.000 eV/atom

Cell lengths 4.7982, 4.7982, 4.7982 Å; angles 90.00, 90.00, 90.00 degrees
Fractional positions:
Ta 0.0000 0.0000 0.5000
Ta 0.0000 0.5000 0.0000
Ta 0.5000 0.0000 0.0000
Se 0.0000 0.0000 0.0000
Br 0.5000 0.5000 0.5000

***

Q: The lowest distance to the lowest polymorph of the same formula belongs to which entry?
A: Ta3SeBr

***

Q: Which of these has the highest raw formation energy?
A: Ta3SeBr